The following is a PBE calculation of crystalline Rb3La2SnS6 at its relaxed geometry, from Alexandria.

```
data_Rb3La2SnS6
_chemical_formula_sum 'Rb3 La2 Sn1 S6'
_cell_length_a 7.3634
_cell_length_b 7.3634
_cell_length_c 8.0677
_cell_angle_alpha 98.75
_cell_angle_beta 98.75
_cell_angle_gamma 120.00
_space_group_name_H-M_alt 'P 1'
_space_group_IT_number 1
loop_
_space_group_symop_operation_xyz
'x,y,z'
loop_
_atom_site_label
_atom_site_fract_x
_atom_site_fract_y
_atom_site_fract_z
_atom_site_occupancy
Rb1 0.0000 0.0000 0.0000 1
Rb2 0.3340 0.6660 0.0000 1
Rb3 0.6660 0.3340 0.0000 1
La1 0.1667 0.8333 0.5000 1
La2 0.8333 0.1667 0.5000 1
Sn1 0.5000 0.5000 0.5000 1
S1 0.1116 0.4346 0.3039 1
S2 0.2423 0.2423 0.6958 1
S3 0.4346 0.1116 0.3039 1
S4 0.5654 0.8884 0.6961 1
S5 0.7577 0.7577 0.3042 1
S6 0.8884 0.5654 0.6961 1
```

## Properties
SG	C2/m, No. 12
DOS at the Fermi energy	6.070	states/eV per cell

The following is a PBE calculation of crystalline Rb2La2SnS6 at its relaxed geometry, from Alexandria.

```
data_Rb2La2SnS6
_chemical_formula_sum 'Rb2 La2 Sn1 S6'
_cell_length_a 7.1454
_cell_length_b 7.1454
_cell_length_c 8.2459
_cell_angle_alpha 98.44
_cell_angle_beta 98.44
_cell_angle_gamma 119.23
_space_group_name_H-M_alt 'P 1'
_space_group_IT_number 1
loop_
_space_group_symop_operation_xyz
'x,y,z'
loop_
_atom_site_label
_atom_site_fract_x
_atom_site_fract_y
_atom_site_fract_z
_atom_site_occupancy
Rb1 0.1699 0.8301 0.0000 1
Rb2 0.8301 0.1699 0.0000 1
La1 0.3331 0.6669 0.5000 1
La2 0.6669 0.3331 0.5000 1
Sn1 0.0000 0.0000 0.5000 1
S1 0.0623 0.3717 0.6886 1
S2 0.2345 0.2345 0.3138 1
S3 0.3717 0.0623 0.6886 1
S4 0.6283 0.9377 0.3114 1
S5 0.7655 0.7655 0.6862 1
S6 0.9377 0.6283 0.3114 1
```

## Properties
SG	C2/m, No. 12

The following is a PBE calculation of crystalline RbLaSnS4 at its relaxed geometry, from Alexandria.

```
data_RbLaSnS4
_chemical_formula_sum 'Rb2 La2 Sn2 S8'
_cell_length_a 6.9866
_cell_length_b 6.9796
_cell_length_c 9.2730
_cell_angle_alpha 90.00
_cell_angle_beta 107.18
_cell_angle_gamma 90.00
_space_group_name_H-M_alt 'P 1'
_space_group_IT_number 1
loop_
_space_group_symop_operation_xyz
'x,y,z'
loop_
_atom_site_label
_atom_site_fract_x
_atom_site_fract_y
_atom_site_fract_z
_atom_site_occupancy
Rb1 0.2339 0.2500 0.4376 1
Rb2 0.7661 0.7500 0.5624 1
La1 0.2747 0.2500 0.9462 1
La2 0.7253 0.7500 0.0538 1
Sn1 0.2667 0.7500 0.1716 1
Sn2 0.7333 0.2500 0.8284 1
S1 0.0519 0.7500 0.9165 1
S2 0.0604 0.7500 0.3344 1
S3 0.4960 0.5107 0.7945 1
S4 0.4960 0.9893 0.7945 1
S5 0.5040 0.0107 0.2055 1
S6 0.5040 0.4893 0.2055 1
S7 0.9396 0.2500 0.6656 1
S8 0.9481 0.2500 0.0835 1
```

## Properties
SG	P2_1/m, No. 11
DOS at the Fermi energy	0.000	states/eV per cell

The following is a PBE calculation of crystalline Rb3LaTb2S6 at its relaxed geometry, from Alexandria.

```
data_Rb3LaTb2S6
_chemical_formula_sum 'Rb3 La1 Tb2 S6'
_cell_length_a 7.2284
_cell_length_b 7.2284
_cell_length_c 8.0667
_cell_angle_alpha 98.60
_cell_angle_beta 98.60
_cell_angle_gamma 120.00
_space_group_name_H-M_alt 'P 1'
_space_group_IT_number 1
loop_
_space_group_symop_operation_xyz
'x,y,z'
loop_
_atom_site_label
_atom_site_fract_x
_atom_site_fract_y
_atom_site_fract_z
_atom_site_occupancy
Rb1 0.0000 0.0000 0.0000 1
Rb2 0.3344 0.6656 0.0000 1
Rb3 0.6656 0.3344 0.0000 1
La1 0.5000 0.5000 0.5000 1
Tb1 0.1668 0.8332 0.5000 1
Tb2 0.8332 0.1668 0.5000 1
S1 0.0911 0.4352 0.3059 1
S2 0.2205 0.2205 0.6938 1
S3 0.4352 0.0911 0.3059 1
S4 0.5648 0.9089 0.6941 1
S5 0.7795 0.7795 0.3062 1
S6 0.9089 0.5648 0.6941 1
```

## Properties
SG	C2/m, No. 12
DOS at the Fermi energy	0.000	states/eV per cell

The following is a PBE calculation of crystalline Rb3La2TbS6 at its relaxed geometry, from Alexandria.

```
data_Rb3La2TbS6
_chemical_formula_sum 'Rb3 La2 Tb1 S6'
_cell_length_a 7.3599
_cell_length_b 7.3599
_cell_length_c 8.0761
_cell_angle_alpha 98.74
_cell_angle_beta 98.74
_cell_angle_gamma 120.00
_space_group_name_H-M_alt 'P 1'
_space_group_IT_number 1
loop_
_space_group_symop_operation_xyz
'x,y,z'
loop_
_atom_site_label
_atom_site_fract_x
_atom_site_fract_y
_atom_site_fract_z
_atom_site_occupancy
Rb1 0.0000 0.0000 0.0000 1
Rb2 0.3328 0.6672 0.0000 1
Rb3 0.6672 0.3328 0.0000 1
La1 0.1666 0.8334 0.5000 1
La2 0.8334 0.1666 0.5000 1
Tb1 0.5000 0.5000 0.5000 1
S1 0.1122 0.4348 0.3043 1
S2 0.2427 0.2427 0.6956 1
S3 0.4348 0.1122 0.3043 1
S4 0.5652 0.8878 0.6957 1
S5 0.7573 0.7573 0.3044 1
S6 0.8878 0.5652 0.6957 1
```

## Properties
SG	C2/m, No. 12
DOS at the Fermi energy	0.000	states/eV per cell

The following is a PBE calculation of crystalline RbLaTeS at its relaxed geometry, from Alexandria.

```
data_RbLaTeS
_chemical_formula_sum 'Rb1 La1 Te1 S1'
_cell_length_a 8.7805
_cell_length_b 8.7805
_cell_length_c 8.7805
_cell_angle_alpha 29.56
_cell_angle_beta 29.56
_cell_angle_gamma 29.56
_space_group_name_H-M_alt 'P 1'
_space_group_IT_number 1
loop_
_space_group_symop_operation_xyz
'x,y,z'
loop_
_atom_site_label
_atom_site_fract_x
_atom_site_fract_y
_atom_site_fract_z
_atom_site_occupancy
Rb1 0.0000 0.0000 0.0000 1
La1 0.1568 0.1568 0.1568 1
Te1 0.5673 0.5673 0.5673 1
S1 0.7680 0.7680 0.7680 1
```

## Properties
SG	R3m, No. 160
DOS at the Fermi energy	0.000	states/eV per cell

The following is a PBE calculation of crystalline Rb4LaTh3S8 at its relaxed geometry, from Alexandria.

```
data_Rb4LaTh3S8
_chemical_formula_sum 'Rb4 La1 Th3 S8'
_cell_length_a 9.1611
_cell_length_b 9.1611
_cell_length_c 9.1611
_cell_angle_alpha 54.27
_cell_angle_beta 54.27
_cell_angle_gamma 54.27
_space_group_name_H-M_alt 'P 1'
_space_group_IT_number 1
loop_
_space_group_symop_operation_xyz
'x,y,z'
loop_
_atom_site_label
_atom_site_fract_x
_atom_site_fract_y
_atom_site_fract_z
_atom_site_occupancy
Rb1 0.0000 0.0000 0.0000 1
Rb2 0.0000 0.5000 0.5000 1
Rb3 0.5000 0.0000 0.5000 1
Rb4 0.5000 0.5000 0.0000 1
La1 0.5000 0.5000 0.5000 1
Th1 0.0000 0.0000 0.5000 1
Th2 0.0000 0.5000 0.0000 1
Th3 0.5000 0.0000 0.0000 1
S1 0.2253 0.7385 0.7385 1
S2 0.2334 0.2334 0.2334 1
S3 0.2615 0.2615 0.7747 1
S4 0.2615 0.7747 0.2615 1
S5 0.7385 0.2253 0.7385 1
S6 0.7385 0.7385 0.2253 1
S7 0.7666 0.7666 0.7666 1
S8 0.7747 0.2615 0.2615 1
```

## Properties
SG	R-3m, No. 166
DOS at the Fermi energy	11.059	states/eV per cell

The following is a PBE calculation of crystalline Rb3LaTh2S6 at its relaxed geometry, from Alexandria.

```
data_Rb3LaTh2S6
_chemical_formula_sum 'Rb3 La1 Th2 S6'
_cell_length_a 7.2682
_cell_length_b 7.2682
_cell_length_c 8.1405
_cell_angle_alpha 98.56
_cell_angle_beta 98.56
_cell_angle_gamma 120.00
_space_group_name_H-M_alt 'P 1'
_space_group_IT_number 1
loop_
_space_group_symop_operation_xyz
'x,y,z'
loop_
_atom_site_label
_atom_site_fract_x
_atom_site_fract_y
_atom_site_fract_z
_atom_site_occupancy
Rb1 0.0000 0.0000 0.0000 1
Rb2 0.3353 0.6647 0.0000 1
Rb3 0.6647 0.3353 0.0000 1
La1 0.5000 0.5000 0.5000 1
Th1 0.1668 0.8332 0.5000 1
Th2 0.8332 0.1668 0.5000 1
S1 0.0885 0.4328 0.2986 1
S2 0.2228 0.2228 0.7010 1
S3 0.4328 0.0885 0.2986 1
S4 0.5672 0.9115 0.7014 1
S5 0.7772 0.7772 0.2990 1
S6 0.9115 0.5672 0.7014 1
```

## Properties
SG	C2/m, No. 12
DOS at the Fermi energy	7.876	states/eV per cell

The following is a PBE calculation of crystalline Rb4La3ThS8 at its relaxed geometry, from Alexandria.

```
data_Rb4La3ThS8
_chemical_formula_sum 'Rb4 La3 Th1 S8'
_cell_length_a 9.1511
_cell_length_b 9.1511
_cell_length_c 9.1511
_cell_angle_alpha 55.76
_cell_angle_beta 55.76
_cell_angle_gamma 55.76
_space_group_name_H-M_alt 'P 1'
_space_group_IT_number 1
loop_
_space_group_symop_operation_xyz
'x,y,z'
loop_
_atom_site_label
_atom_site_fract_x
_atom_site_fract_y
_atom_site_fract_z
_atom_site_occupancy
Rb1 0.0000 0.0000 0.0000 1
Rb2 0.0000 0.5000 0.5000 1
Rb3 0.5000 0.0000 0.5000 1
Rb4 0.5000 0.5000 0.0000 1
La1 0.0000 0.0000 0.5000 1
La2 0.0000 0.5000 0.0000 1
La3 0.5000 0.0000 0.0000 1
Th1 0.5000 0.5000 0.5000 1
S1 0.2335 0.2335 0.2335 1
S2 0.2433 0.7274 0.7274 1
S3 0.2726 0.2726 0.7567 1
S4 0.2726 0.7567 0.2726 1
S5 0.7274 0.2433 0.7274 1
S6 0.7274 0.7274 0.2433 1
S7 0.7567 0.2726 0.2726 1
S8 0.7665 0.7665 0.7665 1
```

## Properties
SG	R-3m, No. 166
DOS at the Fermi energy	5.714	states/eV per cell

The following is a PBE calculation of crystalline Rb2LaTiS4 at its relaxed geometry, from Alexandria.

```
data_Rb2LaTiS4
_chemical_formula_sum 'Rb2 La1 Ti1 S4'
_cell_length_a 7.1083
_cell_length_b 7.1083
_cell_length_c 7.1083
_cell_angle_alpha 116.03
_cell_angle_beta 116.03
_cell_angle_gamma 97.02
_space_group_name_H-M_alt 'P 1'
_space_group_IT_number 1
loop_
_space_group_symop_operation_xyz
'x,y,z'
loop_
_atom_site_label
_atom_site_fract_x
_atom_site_fract_y
_atom_site_fract_z
_atom_site_occupancy
Rb1 0.0000 0.0000 0.0000 1
Rb2 0.7500 0.2500 0.5000 1
La1 0.2500 0.7500 0.5000 1
Ti1 0.5000 0.5000 0.0000 1
S1 0.2233 0.1631 0.6039 1
S2 0.3806 0.7767 0.9398 1
S3 0.5593 0.6194 0.3961 1
S4 0.8369 0.4407 0.0602 1
```

## Properties
SG	I-4, No. 82
DOS at the Fermi energy	3.286	states/eV per cell

The following is a PBE calculation of crystalline Rb4La3TiS8 at its relaxed geometry, from Alexandria.

```
data_Rb4La3TiS8
_chemical_formula_sum 'Rb4 La3 Ti1 S8'
_cell_length_a 9.0686
_cell_length_b 9.0686
_cell_length_c 9.0686
_cell_angle_alpha 54.94
_cell_angle_beta 54.94
_cell_angle_gamma 54.94
_space_group_name_H-M_alt 'P 1'
_space_group_IT_number 1
loop_
_space_group_symop_operation_xyz
'x,y,z'
loop_
_atom_site_label
_atom_site_fract_x
_atom_site_fract_y
_atom_site_fract_z
_atom_site_occupancy
Rb1 0.0000 0.0000 0.0000 1
Rb2 0.0000 0.5000 0.5000 1
Rb3 0.5000 0.0000 0.5000 1
Rb4 0.5000 0.5000 0.0000 1
La1 0.0000 0.0000 0.5000 1
La2 0.0000 0.5000 0.0000 1
La3 0.5000 0.0000 0.0000 1
Ti1 0.5000 0.5000 0.5000 1
S1 0.2344 0.2344 0.2344 1
S2 0.2578 0.7151 0.7151 1
S3 0.2849 0.2849 0.7422 1
S4 0.2849 0.7422 0.2849 1
S5 0.7151 0.2578 0.7151 1
S6 0.7151 0.7151 0.2578 1
S7 0.7422 0.2849 0.2849 1
S8 0.7656 0.7656 0.7656 1
```

## Properties
SG	R-3m, No. 166
DOS at the Fermi energy	6.225	states/eV per cell

The following is a PBE calculation of crystalline RbLaTiS4 at its relaxed geometry, from Alexandria.

```
data_RbLaTiS4
_chemical_formula_sum 'Rb2 La2 Ti2 S8'
_cell_length_a 6.9229
_cell_length_b 6.7803
_cell_length_c 9.2006
_cell_angle_alpha 90.00
_cell_angle_beta 107.55
_cell_angle_gamma 90.00
_space_group_name_H-M_alt 'P 1'
_space_group_IT_number 1
loop_
_space_group_symop_operation_xyz
'x,y,z'
loop_
_atom_site_label
_atom_site_fract_x
_atom_site_fract_y
_atom_site_fract_z
_atom_site_occupancy
Rb1 0.2203 0.2500 0.4343 1
Rb2 0.7797 0.7500 0.5657 1
La1 0.2739 0.2500 0.9488 1
La2 0.7261 0.7500 0.0512 1
Ti1 0.2766 0.7500 0.1753 1
Ti2 0.7234 0.2500 0.8247 1
S1 0.0728 0.7500 0.3254 1
S2 0.0793 0.7500 0.9329 1
S3 0.4986 0.0047 0.2078 1
S4 0.4986 0.4953 0.2078 1
S5 0.5014 0.5047 0.7922 1
S6 0.5014 0.9953 0.7922 1
S7 0.9207 0.2500 0.0671 1
S8 0.9272 0.2500 0.6746 1
```

## Properties
SG	P2_1/m, No. 11
DOS at the Fermi energy	0.000	states/eV per cell

Number 1: raw formation energy -17.69 eV per formula unit. Number 2: raw formation energy -15.83 eV per formula unit. Number 3: raw formation energy -8.88 eV per formula unit. Number 4: raw formation energy -22.39 eV per formula unit. Number 5: raw formation energy -22.56 eV per formula unit. Number 6: raw formation energy -6.55 eV per formula unit. Number 7: raw formation energy -27.29 eV per formula unit. Number 8: raw formation energy -20.74 eV per formula unit. Number 9: raw formation energy -29.34 eV per formula unit. Number 10: raw formation energy -11.36 eV per formula unit. Number 11: raw formation energy -26.94 eV per formula unit. Number 12: raw formation energy -11.67 eV per formula unit.